(1)
Entry from Alexandria via LeMat-Bulk: Ta2HIrPd after structural relaxation (PBE).

```
Ta2HIrPd
1.0
4.073 0.000 0.000
0.000 4.073 0.000
0.000 0.000 4.037
H Ir Pd Ta
1 1 1 2
Cartesian
0.000 0.000 0.000
0.000 0.000 2.019
2.036 2.036 2.019
0.000 2.036 0.000
2.036 0.000 0.000
```

## Properties
The crystal system is tetragonal. The calculation puts the density of states at the Fermi level at 2.54 states/eV/cell. The total energy comes out at -8.523 eV/atom.

---

(2)
Entry from Alexandria via LeMat-Bulk: MgNiH3 after structural relaxation (PBE).

```
MgNiH3
1.0
-0.144 2.717 1.935
-2.785 0.969 -1.567
-1.837 -1.682 2.224
Ni Mg H
1 1 3
Cartesian
0.000 0.000 0.000
-2.383 1.002 1.296
-1.392 0.484 -0.784
-0.918 -0.841 1.112
-0.072 1.358 0.968
```

## Properties
The crystal system is cubic. The calculation puts the density of states at the Fermi level at 0.59 states/eV/cell. The total energy comes out at -3.646 eV/atom.

---

(3)
Entry from Alexandria via LeMat-Bulk: Pr2Ho3Au4 after structural relaxation (PBE).

```
Pr2Ho3Au4
1.0
7.085 0.000 0.000
0.000 7.599 0.000
-3.543 0.000 8.833
Pr Ho Au
4 6 8
Cartesian
0.000 4.415 1.708
3.543 3.185 7.125
0.000 0.615 7.125
3.543 6.985 1.708
0.000 0.000 0.000
3.543 3.800 0.000
1.771 5.700 4.674
5.314 1.900 4.159
1.771 1.900 4.159
-1.771 5.700 4.674
1.771 5.700 7.670
5.314 1.900 1.163
1.771 1.900 1.163
-1.771 5.700 7.670
0.000 7.374 2.995
3.543 0.225 5.838
0.000 3.574 5.838
3.543 4.025 2.995
```

## Properties
As for the formation energy: -0.68 eV/atom. The crystal system is orthorhombic. The calculation puts the density of states at the Fermi level at 20.01 states/eV/cell.

---

(4)
Entry from Alexandria via LeMat-Bulk: CaPm5Cd3 after structural relaxation (PBE).

```
CaPm5Cd3
1.0
-0.723 3.276 -6.193
7.525 -4.653 -3.340
-8.651 -3.700 -0.948
Ca Pm Cd
2 10 6
Cartesian
0.000 0.000 0.000
-0.361 1.638 -3.097
2.133 -4.336 -2.543
-3.620 -2.380 -4.842
-3.259 -4.018 -1.745
1.772 -2.698 -5.639
-1.292 -3.110 -7.502
4.097 -3.431 -8.301
1.969 0.905 -5.759
-0.556 -1.968 -2.979
-5.946 -1.647 -2.180
4.834 -2.282 -3.774
-0.917 -0.328 -6.074
1.217 -4.663 -8.616
4.474 -0.645 -6.871
-0.931 -4.749 -4.406
-3.065 -0.415 -1.864
2.329 -0.733 -2.662
```

## Properties
As for the formation energy: -0.18 eV/atom. The crystal system is hexagonal. The calculation puts the density of states at the Fermi level at 18.64 states/eV/cell.

---

(5)
Entry from Alexandria via LeMat-Bulk: Cd2OsRu after structural relaxation (PBE).

```
Cd2OsRu
1.0
-0.246 5.501 0.748
-4.793 2.672 -0.876
2.881 -3.821 2.825
Cd Os Ru
2 1 1
Cartesian
-0.010 0.016 0.000
-2.509 4.071 -0.063
0.058 2.883 1.755
-2.216 1.469 0.943
```

## Properties
As for the formation energy: 0.62 eV/atom. The crystal system is orthorhombic. The calculation puts the density of states at the Fermi level at 4.16 states/eV/cell.

---

(6)
Entry from Alexandria via LeMat-Bulk: Zr5Rh3 after structural relaxation (PBE).

```
Zr5Rh3
1.0
2.920 0.000 0.000
0.000 6.744 -3.893
0.000 0.000 7.787
Zr Rh
5 3
Cartesian
0.000 4.496 0.000
0.000 2.248 3.893
0.000 0.000 1.806
0.000 1.564 -0.903
0.000 5.179 2.990
1.460 0.000 4.852
1.460 4.202 -2.426
1.460 2.542 1.467
```

## Properties
As for the formation energy: -0.41 eV/atom. The crystal system is hexagonal. The calculation puts the density of states at the Fermi level at 7.51 states/eV/cell.

---

(7)
Entry from Alexandria via LeMat-Bulk: LiHoGa2 after structural relaxation (PBE).

```
LiHoGa2
1.0
-2.045 1.637 2.712
-5.726 0.301 -4.499
-3.441 -10.404 3.684
Li Ho Ga
4 4 8
Cartesian
-3.878 0.871 0.483
-7.335 -9.337 1.415
-8.149 -3.237 -0.259
-3.063 -5.229 2.157
-4.829 -2.409 1.744
-6.383 -6.058 0.153
-6.936 0.029 -1.315
-4.277 -8.495 3.213
-1.827 -2.993 1.740
-9.386 -5.473 0.158
-4.153 -1.220 -1.085
-7.059 -7.246 2.982
-2.027 -0.910 0.332
-9.185 -7.556 1.566
-5.701 -3.211 -1.050
-5.512 -5.255 2.948
```

## Properties
As for the formation energy: -0.43 eV/atom. The crystal system is orthorhombic. The calculation puts the density of states at the Fermi level at 5.20 states/eV/cell.

---

(8)
Entry from Alexandria via LeMat-Bulk: LiSi2Sb after structural relaxation (PBE).

```
LiSi2Sb
1.0
-1.664 2.236 2.962
-0.341 -2.379 1.604
5.812 0.907 2.582
Li Sb Si
1 1 2
Cartesian
2.458 -0.778 1.969
2.963 -0.615 4.922
0.358 0.054 0.161
0.424 -1.011 3.794
```

## Properties
As for the uncorrected formation energy: 0.111 eV per atom. The crystal system is orthorhombic. The calculation puts the density of states at the Fermi level at 1.28 states/eV/cell.

---

(9)
Entry from Alexandria via LeMat-Bulk: CsLaSe2 after structural relaxation (PBE).

```
CsLaSe2
1.0
-2.379 1.524 -3.284
-7.422 -0.118 -0.392
-4.273 7.508 9.427
Cs Se La
2 4 2
Cartesian
-2.531 1.947 -1.270
-11.489 7.961 5.450
-3.994 4.937 4.185
-7.644 3.445 3.284
-6.218 2.687 -0.970
-7.799 7.220 5.155
-8.914 6.114 2.583
-5.103 3.792 1.603
```

## Properties
As for the uncorrected formation energy: -1.757 eV per atom. The crystal system is monoclinic. The calculation puts the density of states at the Fermi level at 0.00 states/eV/cell.

---

(10)
Entry from Alexandria via LeMat-Bulk: Ca7Bi4H after structural relaxation (PBE).

```
Ca7Bi4H
1.0
4.531 0.000 1.231
1.590 9.201 3.099
-0.107 0.033 9.345
Ca Bi H
7 4 1
Cartesian
4.298 2.949 11.038
1.716 6.286 2.638
0.658 0.644 6.528
5.355 8.590 7.148
2.595 5.817 8.354
2.265 0.000 0.616
3.419 3.418 5.322
3.396 6.571 5.407
2.618 2.664 8.269
4.480 7.418 10.370
1.534 1.816 3.306
0.000 0.000 0.000
```

## Properties
The crystal system is monoclinic. The calculation puts the density of states at the Fermi level at 3.62 states/eV/cell. The total energy comes out at -3.507 eV/atom.

---

(11)
Entry from Alexandria via LeMat-Bulk: AsHBr after structural relaxation (PBE).

```
AsHBr
1.0
-2.998 -2.040 -0.866
2.224 -2.088 5.242
-4.908 7.719 -1.188
As H Br
2 2 2
Cartesian
0.529 -2.403 3.826
-6.212 5.994 -0.638
-1.029 -3.359 3.448
-4.653 6.950 -0.260
-2.640 -0.360 1.960
-3.043 3.951 1.228
```

## Properties
The crystal system is monoclinic. The calculation puts the density of states at the Fermi level at 0.04 states/eV/cell. The total energy comes out at -3.201 eV/atom.

---

(12)
Entry from Alexandria via LeMat-Bulk: ZnRePt after structural relaxation (PBE).

```
ZnRePt
1.0
6.186 -0.039 0.041
5.587 2.656 0.044
0.599 0.130 2.692
Pt Re Zn
1 1 1
Cartesian
0.636 0.139 2.684
8.014 1.780 0.962
4.320 0.958 1.824
```

## Properties
As for the formation energy: -0.03 eV/atom. The crystal system is tetragonal. The calculation puts the density of states at the Fermi level at 3.71 states/eV/cell.

---

(13)
Entry from Alexandria via LeMat-Bulk: ZnSbPb2 after structural relaxation (PBE).

```
ZnSbPb2
1.0
3.423 -0.041 0.000
-0.910 3.300 0.000
0.000 0.000 9.653
Pb Sb Zn
2 1 1
Cartesian
0.000 0.000 9.295
1.256 1.629 2.484
0.000 0.000 5.208
1.256 1.629 7.145
```

## Properties
As for the uncorrected formation energy: 0.123 eV per atom. The crystal system is orthorhombic. The calculation puts the density of states at the Fermi level at 1.71 states/eV/cell.

---

(14)
Entry from Alexandria via LeMat-Bulk: TbPr2HoTm2 after structural relaxation (PBE).

```
TbPr2HoTm2
1.0
-0.645 0.415 5.605
-3.056 -6.313 0.116
8.763 -4.218 1.321
Tb Pr Ho Tm
2 4 2 4
Cartesian
4.357 -2.156 0.661
2.831 -5.314 0.719
-0.344 0.159 2.804
0.748 -2.367 0.261
6.888 -7.214 4.182
4.912 -8.263 1.177
4.685 -4.206 3.706
0.332 -6.003 3.338
6.530 -5.149 1.133
1.822 -2.829 3.274
-0.869 -5.479 0.306
3.195 -7.382 3.769
```

## Properties
As for the formation energy: 0.07 eV/atom. The crystal system is orthorhombic. The calculation puts the density of states at the Fermi level at 18.83 states/eV/cell.

---

(15)
Entry from Alexandria via LeMat-Bulk: CaTlOs2 after structural relaxation (PBE).

```
CaTlOs2
1.0
6.158 0.000 0.019
5.434 2.899 0.019
1.949 0.488 4.493
Tl Os Ca
1 2 1
Cartesian
6.423 1.606 2.417
2.384 0.596 4.277
9.997 2.500 3.485
3.458 0.865 1.109
```

## Properties
As for the formation energy: 0.63 eV/atom. The crystal system is monoclinic. The calculation puts the density of states at the Fermi level at 4.07 states/eV/cell.

---

(16)
Entry from Alexandria via LeMat-Bulk: TcTeF2 after structural relaxation (PBE).

```
TcTeF2
1.0
1.694 0.000 10.005
-0.847 1.467 10.005
-0.847 -1.467 10.005
Te Tc F
1 1 2
Cartesian
0.000 0.000 15.008
0.000 0.000 0.000
0.000 0.000 28.133
0.000 0.000 1.883
```

## Properties
As for the uncorrected formation energy: -0.753 eV per atom. The crystal system is trigonal. The calculation puts the density of states at the Fermi level at 4.06 states/eV/cell.

---

(17)
Entry from Alexandria via LeMat-Bulk: In2IrPb after structural relaxation (PBE).

```
In2IrPb
1.0
-0.324 1.677 5.025
-5.201 0.667 0.823
2.527 -4.259 -1.909
In Ir Pb
2 1 1
Cartesian
0.000 0.000 0.000
-2.718 -1.210 0.919
-2.762 1.172 2.924
-0.280 -0.705 3.020
```

## Properties
As for the formation energy: 0.35 eV/atom. The crystal system is tetragonal. The calculation puts the density of states at the Fermi level at 2.96 states/eV/cell.

---

(18)
Entry from Alexandria via LeMat-Bulk: La4Pr6Y after structural relaxation (PBE).

```
La4Pr6Y
1.0
5.576 5.644 -5.646
-7.142 -6.528 -1.099
-8.076 0.869 5.372
La Pr Y
4 6 1
Cartesian
-4.552 -4.130 -0.676
-3.516 0.015 -0.525
-5.140 0.526 3.397
-11.651 -2.086 0.703
-9.186 -4.697 1.553
-9.495 -2.251 3.693
-6.548 -1.255 0.490
-0.783 -0.442 -3.373
0.372 2.528 -2.836
-1.250 3.256 -0.137
0.000 0.000 0.000
```

## Properties
As for the formation energy: 0.26 eV/atom. The crystal system is tetragonal. The calculation puts the density of states at the Fermi level at 18.32 states/eV/cell.

---

(19)
Entry from Alexandria via LeMat-Bulk: Pm5Ga2Sn5 after structural relaxation (PBE).

```
Pm5Ga2Sn5
1.0
-1.339 -0.477 4.239
-6.480 -2.466 -4.682
9.909 -6.009 2.454
Pm Ga Sn
5 2 5
Cartesian
4.285 -3.243 3.347
6.888 -6.406 3.813
-0.266 -3.357 1.897
2.356 -5.595 0.115
-4.798 -2.546 -1.802
5.471 -5.247 1.138
-3.381 -3.704 0.873
2.494 -2.415 0.516
3.769 -6.515 2.816
-1.679 -2.436 -0.804
-0.404 -6.536 1.495
0.000 0.000 0.000
```

## Properties
As for the formation energy: -0.67 eV/atom. The crystal system is monoclinic. The calculation puts the density of states at the Fermi level at 5.63 states/eV/cell.

---

(20)
Entry from Alexandria via LeMat-Bulk: Hf4C3 after structural relaxation (PBE).

```
Hf4C3
1.0
-1.751 -1.871 2.079
-1.262 -3.509 -4.220
5.893 -0.221 2.146
Hf C
4 3
Cartesian
0.733 -1.916 -1.107
2.148 -3.685 1.112
3.700 -0.973 2.241
-0.820 -4.628 -2.236
0.000 0.000 0.000
2.265 -1.523 0.538
0.615 -4.078 -0.532
```

## Properties
As for the formation energy: -0.77 eV/atom. The crystal system is monoclinic. The calculation puts the density of states at the Fermi level at 1.39 states/eV/cell.